The following is a PBE calculation of a relaxed structure of Ho2F, from OQMD.

Values from the calculation:
* energy: -4.09 eV/atom

a = 7.320 Å, b = 7.320 Å, c = 7.320 Å
α = 60.00°, β = 60.00°, γ = 60.00°
Element x y z (fractional)
F  0.250  0.250  0.250
F  0.500  0.500  0.500
Ho  0.375  0.375  0.375
Ho  0.375  0.875  0.375
Ho  0.375  0.375  0.875
Ho  0.875  0.375  0.375